[1]
VASP calculation (PBE) on MoAs2PbSe after structural relaxation.

Lattice parameters (Å, degrees): 4.814 4.814 5.437 90.00 90.00 90.00
Space group P4/mmm (No. 123)
Symmetry-distinct sites (fractional):
Mo1 0.000 0.000 0.000 (multiplicity 1)
As1 0.000 0.500 0.000 (multiplicity 2)
Pb1 0.500 0.500 0.500 (multiplicity 1)
Se1 0.000 0.000 0.500 (multiplicity 1)

Output
**Offset from the most stable computed form**: 0.000 eV/atom
**Fermi-level density of states**: 3.2 states/eV per cell
**E_form (uncorrected)**: 1.1 eV/f.u.

---

[2]
VASP calculation (PBE) on Sr2MoAsPb after structural relaxation.

Lattice parameters (Å, degrees): 6.152 6.152 5.267 90.00 90.00 90.00
Space group P4/mmm (No. 123)
Symmetry-distinct sites (fractional):
Sr1 0.000 0.500 0.000 (multiplicity 2)
Mo1 0.000 0.000 0.500 (multiplicity 1)
As1 0.500 0.500 0.500 (multiplicity 1)
Pb1 0.000 0.000 0.000 (multiplicity 1)

Output
**Fermi-level density of states**: 2.1 states/eV per cell
**Energy of formation**: 0.683 eV per atom

---

[3]
VASP calculation (PBE) on TaMoAs2Pb after structural relaxation.

Lattice parameters (Å, degrees): 4.736 4.736 5.552 90.00 90.00 90.00
Space group P4/mmm (No. 123)
Symmetry-distinct sites (fractional):
Ta1 0.000 0.000 0.000 (multiplicity 1)
Mo1 0.500 0.500 0.500 (multiplicity 1)
As1 0.000 0.500 0.500 (multiplicity 2)
Pb1 0.500 0.500 0.000 (multiplicity 1)

Output
**Fermi-level density of states**: 7.2 states/eV per cell
**Energy of formation**: 1.248 eV per atom

---

[4]
VASP calculation (PBE) on TeMoAs2Pb after structural relaxation.

Lattice parameters (Å, degrees): 5.227 5.227 5.764 90.00 90.00 90.00
Space group P4/mmm (No. 123)
Symmetry-distinct sites (fractional):
Te1 0.000 0.000 0.000 (multiplicity 1)
Mo1 0.500 0.500 0.500 (multiplicity 1)
As1 0.000 0.500 0.000 (multiplicity 2)
Pb1 0.000 0.000 0.500 (multiplicity 1)

Output
**Fermi-level density of states**: 9.0 states/eV per cell
**E_form (uncorrected)**: 9.0 eV/f.u.

---

[5]
VASP calculation (PBE) on YMoAs2Pb after structural relaxation.

Lattice parameters (Å, degrees): 5.396 5.396 5.665 90.00 90.00 90.00
Space group P4/mmm (No. 123)
Symmetry-distinct sites (fractional):
Y1 0.000 0.000 0.000 (multiplicity 1)
Mo1 0.500 0.500 0.000 (multiplicity 1)
As1 0.000 0.500 0.500 (multiplicity 2)
Pb1 0.000 0.000 0.500 (multiplicity 1)

Output
**Fermi-level density of states**: 3.4 states/eV per cell
**Energy of formation**: 1.464 eV per atom

---

[6]
VASP calculation (PBE) on ZnMoAsPb2 after structural relaxation.

Lattice parameters (Å, degrees): 5.708 5.708 4.543 90.00 90.00 90.00
Space group P4/mmm (No. 123)
Symmetry-distinct sites (fractional):
Zn1 0.000 0.000 0.000 (multiplicity 1)
Mo1 0.500 0.500 0.000 (multiplicity 1)
As1 0.000 0.000 0.500 (multiplicity 1)
Pb1 0.000 0.500 0.500 (multiplicity 2)

Output
**Fermi-level density of states**: 3.2 states/eV per cell
**Energy of formation**: 1.105 eV per atom

---

[7]
VASP calculation (PBE) on ZrMoAs2Pb after structural relaxation.

Lattice parameters (Å, degrees): 4.828 4.828 5.318 90.00 90.00 90.00
Space group P4/mmm (No. 123)
Symmetry-distinct sites (fractional):
Zr1 0.000 0.000 0.000 (multiplicity 1)
Mo1 0.000 0.000 0.500 (multiplicity 1)
As1 0.000 0.500 0.500 (multiplicity 2)
Pb1 0.500 0.500 0.000 (multiplicity 1)

Output
**Fermi-level density of states**: 3.6 states/eV per cell
**Energy of formation**: 0.312 eV per atom

---

[8]
VASP calculation (PBE) on MoAsPd2 after structural relaxation.

Lattice parameters (Å, degrees): 3.759 3.759 18.969 90.00 90.00 90.00
Space group I-42d (No. 122)
Symmetry-distinct sites (fractional):
Mo1 0.000 0.000 0.000 (multiplicity 4)
As1 0.000 0.000 0.500 (multiplicity 4)
Pd1 0.248 0.250 0.625 (multiplicity 8)

Output
**Fermi-level density of states**: 18.5 states/eV per cell
**Energy of formation**: 0.204 eV per atom

---

Number 1: calculated volume 25.20 A^3/atom, E -5.242 eV per atom. Number 2: calculated volume 39.86 A^3/atom, E -3.828 eV per atom. Number 3: calculated volume 24.90 A^3/atom, E -5.890 eV per atom. Number 4: calculated volume 31.50 A^3/atom, E -3.588 eV per atom. Number 5: calculated volume 32.99 A^3/atom, E -4.597 eV per atom. Number 6: calculated volume 29.60 A^3/atom, E -3.730 eV per atom. Number 7: calculated volume 24.80 A^3/atom, E -6.165 eV per atom. Number 8: calculated volume 16.76 A^3/atom, E -6.262 eV per atom.